Compound: CeSc2Mn
Source: Alexandria
Functional: GGA-PBE
Structure: relaxed

Values from the calculation:
Energy relative to the elements, eV per atom: 0.204
V, Å³ per atom: 21.87
E above lowest polymorph, meV per atom: 273
Total magnetization, μB/cell: 0.6

Unit cell a=4.9825 b=4.9825 c=4.9825 alpha=60.00 beta=60.00 gamma=60.00
Positions (direct):
Ce (0.0000, 0.0000, 0.0000)
Sc (0.2500, 0.2500, 0.2500)
Sc (0.7500, 0.7500, 0.7500)
Mn (0.5000, 0.5000, 0.5000)

=====

Compound: ScCu2As
Source: Alexandria
Functional: GGA-PBE
Structure: relaxed

Values from the calculation:
Energy relative to the elements, eV per atom: -0.379
V, Å³ per atom: 16.17
Total magnetization, μB/cell: 0.0

Unit cell a=5.1091 b=5.1091 c=5.1091 alpha=46.77 beta=46.77 gamma=46.77
Positions (direct):
Sc (0.0000, 0.0000, 0.0000)
Cu (0.4997, 0.4997, 0.4997)
Cu (0.7770, 0.7770, 0.7770)
As (0.2189, 0.2189, 0.2189)

=====

Compound: BaCd2Ga
Source: Alexandria
Functional: GGA-PBE
Structure: relaxed

Values from the calculation:
Energy relative to the elements, eV per atom: -0.263
V, Å³ per atom: 28.40
Total magnetization, μB/cell: 0.0

Unit cell a=9.3331 b=7.6985 c=6.3250 alpha=90.00 beta=90.00 gamma=90.00
Positions (direct):
Ba (0.0442, 0.2500, 0.1264)
Ba (0.4558, 0.7500, 0.6264)
Ba (0.5442, 0.2500, 0.3736)
Ba (0.9558, 0.7500, 0.8736)
Cd (0.1823, 0.0556, 0.6157)
Cd (0.1823, 0.4444, 0.6157)
Cd (0.3177, 0.5556, 0.1157)
Cd (0.3177, 0.9444, 0.1157)
Cd (0.6823, 0.0556, 0.8843)
Cd (0.6823, 0.4444, 0.8843)
Cd (0.8177, 0.5556, 0.3843)
Cd (0.8177, 0.9444, 0.3843)
Ga (0.1065, 0.7500, 0.3723)
Ga (0.3935, 0.2500, 0.8723)
Ga (0.6065, 0.7500, 0.1277)
Ga (0.8935, 0.2500, 0.6277)